VASP calculation (PBE) on an optimized crystal structure of TlIn2Ag2.

Properties
E_form ... 0.09 eV per atom
Space group ... I4/mmm (139)
Distance to the lowest polymorph of the same formula ... 4.9 kJ/mol of atoms

```
5
Lattice="-1.532 -2.894 2.689 2.268 -3.006 -1.943 5.658 -1.744 4.684" Properties=species:S:1:pos:R:3 pbc="T T T"
Ag 2.247 -3.794 3.873
Ag 4.147 -3.850 1.557
Tl 0.000 0.000 0.000
In 1.505 -2.691 1.299
In 4.890 -4.953 4.131
```

---

VASP calculation (PBE) on an optimized crystal structure of TlIn6Ag3.

Properties
E_form ... 0.04 eV per atom
Space group ... P2_1/m (11)

```
20
Lattice="4.595 0.000 0.000 0.000 8.694 -1.610 0.000 1.072 12.404" Properties=species:S:1:pos:R:3 pbc="T T T"
In 3.446 4.083 0.278
In 1.149 8.845 5.665
In 1.149 2.405 11.796
In 3.446 7.361 -1.002
In 3.446 6.566 2.500
In 1.149 3.200 8.294
In 3.446 4.178 6.322
In 1.149 3.240 2.431
In 1.149 5.588 4.472
In 3.446 6.526 8.364
In 3.446 0.921 5.129
In 1.149 5.683 10.517
Ag 3.446 3.959 9.964
Ag 1.149 5.808 0.830
Ag 3.446 7.093 5.444
Ag 1.149 8.255 9.334
Ag 1.149 2.673 5.350
Ag 3.446 1.512 1.460
Tl 3.446 0.992 9.482
Tl 1.149 8.774 1.312
```

---

VASP calculation (PBE) on an optimized crystal structure of Tm4TlIn2Ag.

Properties
E_form ... -0.36 eV per atom
Space group ... R-3m (166)

```
8
Lattice="-0.306 -5.029 1.398 2.740 -1.746 4.096 -5.758 -0.418 7.009" Properties=species:S:1:pos:R:3 pbc="T T T"
Tm -4.074 -2.921 8.153
Tm -3.254 -1.120 5.035
Tm 0.750 -4.272 4.351
Tm -0.071 -6.073 7.468
In -2.464 -5.403 9.355
In -0.860 -1.790 3.149
Tl 0.000 0.000 0.000
Ag -1.662 -3.596 6.252
```

---

VASP calculation (PBE) on an optimized crystal structure of Tm4Tl2InAg.

Properties
E_form ... -0.33 eV per atom
Space group ... R-3m (166)

```
8
Lattice="-1.300 -5.075 -0.058 0.255 -2.719 -4.472 7.786 -4.701 0.233" Properties=species:S:1:pos:R:3 pbc="T T T"
Tm 4.696 -3.902 -0.429
Tm 0.376 -5.473 -2.790
Tm 2.045 -8.593 -3.867
Tm 6.366 -7.022 -1.506
Tl 5.013 -9.360 -3.231
Tl 1.729 -3.135 -1.065
Ag 3.371 -6.247 -2.148
In 0.000 0.000 0.000
```